Here is Ba2AuCl at its PBEsol-relaxed geometry from Alexandria via LeMat-Bulk. Energies are from meta-GGA SCAN.

## Properties
Crystal system: cubic
DOS at the Fermi energy (states/eV per atom): 1.059
Distance to the lowest polymorph of the same formula (meV/atom): 793
Formation energy from raw total energies (eV/atom): -0.7038

abc: 5.4641 5.4641 5.4641
angles: 60.00 60.00 60.00
Element x y z (fractional)
Au  0.5000  0.5000  0.5000
Ba  0.7500  0.7500  0.7500
Cl  0.2500  0.2500  0.2500
Ba  0.0000  0.0000  0.0000

Here is KCa2P at its PBEsol-relaxed geometry from Alexandria via LeMat-Bulk. Energies are from meta-GGA SCAN.

## Properties
Calculated formation energy (kJ/mol of atoms): -53
Crystal system: orthorhombic
DOS at the Fermi energy (states/eV per atom): 0.389

abc: 3.7928 4.2190 9.7237
angles: 102.53 101.25 90.00
Element x y z (fractional)
Ca  0.2485  0.7485  0.4970
P  0.7198  0.2198  0.4396
K  0.4268  0.4268  0.8536
Ca  0.1049  0.1049  0.2098

Here is Ca2Os2O7 at its PBEsol-relaxed geometry from Alexandria via LeMat-Bulk. Energies are from meta-GGA SCAN.

## Properties
Crystal system: orthorhombic
DOS at the Fermi energy (states/eV per atom): 0.224
Formation energy from raw total energies (eV/atom): -1.9503

abc: 7.2045 7.2202 7.2202
angles: 61.52 60.07 60.07
Last column: magnetic moment on the atom in μB.
Element x y z (fractional)
Ca  0.0000  0.0000  0.0000  0.01
O  0.6800  0.5494  0.6825  0.01
O  0.7500  0.4229  0.0771  -0.11
O  0.4119  0.8175  0.9506  0.01
Ca  0.5000  0.5000  0.5000  0.01
Ca  0.5000  0.0000  0.5000  0.01
O  0.5881  0.1825  0.0494  0.01
Os  0.0000  0.5000  0.5000  1.68
Os  0.5000  0.0000  0.0000  1.68
O  0.1800  0.1825  0.0494  0.01
O  0.0881  0.5494  0.6825  0.01
O  0.2500  0.5771  0.9229  -0.11
O  0.4024  0.8662  0.3289  0.12
Ca  0.0000  0.0000  0.5000  0.01
O  0.8200  0.8175  0.9506  0.01
Os  0.5000  0.5000  0.0000  -1.17
O  0.9119  0.4506  0.3175  0.01
O  0.0976  0.1711  0.6338  0.12
O  0.9024  0.8289  0.3662  0.12
Os  0.0000  0.5000  0.0000  -1.17
O  0.5976  0.1338  0.6711  0.12
O  0.3200  0.4506  0.3175  0.01

Q: Which of these has the highest DOS at the Fermi energy?
A: Ba2AuCl